DFT (PBE) results for a geometry-optimized Cr2ReHRu structure.

Output
The value obtained for the density of states at the Fermi level is 4.67 states/eV per cell. The energy above the lowest structure with this stoichiometry comes out at 0.000 eV/atom.

```
5
Lattice="-2.951 2.279 -0.799 -0.705 -2.019 -3.157 -2.275 -2.261 1.954" Properties=species:S:1:pos:R:3 pbc="T T T"
Re -2.965 -1.001 -1.001
Cr -0.352 -1.010 -1.579
Cr -1.476 1.139 -0.399
H 0.000 0.000 0.000
Ru -1.137 -1.131 0.977
```


DFT (PBE) results for a geometry-optimized In2Ag3Au8 structure.

Output
The value obtained for the density of states at the Fermi level is 3.77 states/eV per cell. The energy of formation from the pure elements comes out at -0.045 eV/atom. The energy above the lowest structure with this stoichiometry comes out at 0.000 eV/atom.

```
13
Lattice="-2.071 -2.674 2.034 -3.295 -2.597 -6.771 8.053 -4.348 2.484" Properties=species:S:1:pos:R:3 pbc="T T T"
In 0.557 -5.492 -2.825
In 2.131 -4.128 0.572
Ag -1.036 -1.337 1.017
Ag 7.127 -5.076 0.584
Ag -2.368 -1.870 -4.871
Au 2.643 -6.828 1.373
Au 0.044 -2.792 -3.626
Au 3.164 -5.537 -4.059
Au -0.476 -4.083 1.806
Au -1.884 -4.693 -4.261
Au -0.263 -3.415 -0.929
Au 2.951 -6.205 -1.324
Au 4.571 -4.926 2.008
```


DFT (PBE) results for a geometry-optimized ScHg2 structure.

Output
The value obtained for the density of states at the Fermi level is 3.40 states/eV per cell. The energy of formation from the pure elements comes out at -0.222 eV/atom.

```
6
Lattice="-0.979 2.889 2.477 2.147 -2.167 2.477 3.848 2.379 -17.268" Properties=species:S:1:pos:R:3 pbc="T T T"
Sc 4.769 0.043 -10.473
Sc 0.247 3.058 -1.840
Hg 4.289 -0.634 -7.593
Hg 5.590 0.170 -13.354
Hg 0.727 3.735 -4.720
Hg -0.574 2.931 1.041
```


DFT (PBE) results for a geometry-optimized MnTlB3 structure.

Output
The value obtained for the density of states at the Fermi level is 3.23 states/eV per cell. The energy of formation from the pure elements comes out at 2.639 eV/atom. The energy above the lowest structure with this stoichiometry comes out at 1.585 eV/atom.

```
5
Lattice="4.516 0.000 0.000 0.000 4.516 0.000 0.000 0.000 4.516" Properties=species:S:1:pos:R:3 pbc="T T T"
Tl 0.000 0.000 0.000
Mn 2.258 2.258 2.258
B 0.000 2.258 0.000
B 0.000 0.000 2.258
B 2.258 0.000 0.000
```


DFT (PBE) results for a geometry-optimized BaTlBiRu2 structure.

Output
The value obtained for the density of states at the Fermi level is 7.15 states/eV per cell. The energy of formation from the pure elements comes out at 1.123 eV/atom.

```
5
Lattice="5.115 0.000 0.000 0.000 6.411 0.000 0.000 0.000 5.115" Properties=species:S:1:pos:R:3 pbc="T T T"
Ru 0.000 0.000 2.557
Ru 2.557 0.000 0.000
Tl 2.557 3.206 2.557
Bi 0.000 0.000 0.000
Ba 0.000 3.206 0.000
```


DFT (PBE) results for a geometry-optimized Tb6CeTh2 structure.

Output
The value obtained for the density of states at the Fermi level is 34.07 states/eV per cell. The energy of formation from the pure elements comes out at 0.149 eV/atom.

```
18
Lattice="-1.720 -5.683 -1.528 2.920 -3.231 8.862 -9.449 2.533 1.349" Properties=species:S:1:pos:R:3 pbc="T T T"
Tb -6.703 -5.438 3.661
Tb -4.859 -2.643 2.768
Tb -1.546 -0.944 5.022
Tb -3.390 -3.739 5.915
Tb -2.630 -7.099 6.682
Tb -0.506 -4.908 4.865
Tb -5.619 0.717 2.001
Tb -7.743 -1.473 3.818
Tb 1.674 -2.606 6.040
Tb -0.795 -4.787 8.430
Tb -9.923 -3.776 2.643
Tb -7.454 -1.595 0.253
Ce -9.584 0.975 1.146
Ce 1.335 -7.356 7.537
Th -6.608 -3.286 6.546
Th -3.888 -5.292 0.530
Th -1.641 -3.096 2.137
Th -4.361 -1.090 8.153
```


DFT (PBE) results for a geometry-optimized Tb5PmDy5 structure.

Output
The value obtained for the density of states at the Fermi level is 15.29 states/eV per cell. The energy of formation from the pure elements comes out at 0.145 eV/atom. The energy above the lowest structure with this stoichiometry comes out at 0.000 eV/atom.

```
11
Lattice="6.608 -1.798 1.171 -1.061 6.790 4.713 -1.111 1.678 9.305" Properties=species:S:1:pos:R:3 pbc="T T T"
Tb 0.188 3.327 3.897
Tb 0.867 1.121 6.640
Tb 3.304 -0.899 0.586
Tb 3.568 5.548 8.548
Tb 4.248 3.342 11.292
Pm 0.000 0.000 0.000
Dy 1.404 0.219 3.428
Dy 0.956 4.226 10.236
Dy -1.086 4.234 7.009
Dy 3.479 2.443 4.953
Dy 3.032 6.450 11.761
```


DFT (PBE) results for a geometry-optimized Cr2MoAs structure.

Output
The value obtained for the density of states at the Fermi level is 2.04 states/eV per cell. The energy of formation from the pure elements comes out at 0.100 eV/atom.

```
4
Lattice="-2.674 1.021 -1.220 -0.040 -2.429 -1.945 -2.947 -3.069 3.892" Properties=species:S:1:pos:R:3 pbc="T T T"
As -3.569 -3.007 1.339
Cr -0.047 -0.049 0.062
Cr -2.006 -1.379 -0.726
Mo -1.513 -1.575 1.998
```


DFT (PBE) results for a geometry-optimized NaYTmAl structure.

Output
The value obtained for the density of states at the Fermi level is 3.79 states/eV per cell. The energy of formation from the pure elements comes out at -0.039 eV/atom.

```
4
Lattice="5.259 0.000 0.000 2.630 4.554 0.000 2.630 1.518 4.294" Properties=species:S:1:pos:R:3 pbc="T T T"
Y 7.889 4.554 3.221
Na 0.000 0.000 0.000
Tm 2.630 1.518 1.074
Al 5.259 3.036 2.147
```


DFT (PBE) results for a geometry-optimized Zr2InSi structure.

Output
Its energy relative to the elements, uncorrected is -0.333 eV per atom. The value obtained for the density of states at the Fermi level is 3.33 states/eV per cell.

```
4
Lattice="3.569 0.000 0.000 0.000 3.569 0.000 0.000 0.000 6.365" Properties=species:S:1:pos:R:3 pbc="T T T"
In 1.785 1.785 1.591
Si 1.785 1.785 4.774
Zr 0.000 0.000 6.196
Zr 0.000 0.000 3.352
```


DFT (PBE) results for a geometry-optimized CuGeAsS structure.

Output
Its energy relative to the elements, uncorrected is -0.209 eV per atom. The value obtained for the density of states at the Fermi level is 0.57 states/eV per cell.

```
4
Lattice="3.891 -0.004 -0.009 -1.945 3.370 0.009 -1.933 -1.128 6.333" Properties=species:S:1:pos:R:3 pbc="T T T"
Cu -1.488 3.106 1.072
Ge -1.487 0.860 4.601
As 0.455 -0.263 3.499
S 0.455 1.983 0.525
```


DFT (PBE) results for a geometry-optimized MgOs2Pt structure.

Output
The value obtained for the density of states at the Fermi level is 6.22 states/eV per cell. The energy of formation from the pure elements comes out at 0.263 eV/atom.

```
4
Lattice="4.409 0.000 0.000 2.205 3.819 0.000 2.205 1.273 3.600" Properties=species:S:1:pos:R:3 pbc="T T T"
Mg 4.409 2.546 1.800
Os 0.000 0.000 0.000
Os 2.205 1.273 0.900
Pt 6.614 3.819 2.700
```


DFT (PBE) results for a geometry-optimized La6Pm2Y3 structure.

Output
The value obtained for the density of states at the Fermi level is 18.03 states/eV per cell. The energy of formation from the pure elements comes out at 0.018 eV/atom.

```
11
Lattice="0.270 -2.623 5.774 -6.654 -3.330 -3.488 -6.136 -15.653 1.396" Properties=species:S:1:pos:R:3 pbc="T T T"
La -7.796 -17.366 4.199
La -6.680 -13.872 4.562
La -4.724 -4.240 -0.516
La -5.840 -7.733 -0.880
La -8.615 -12.938 1.573
La -3.905 -8.667 2.109
Pm -2.788 -5.186 2.462
Pm -9.732 -16.420 1.220
Y 0.000 0.000 0.000
Y -7.509 -9.437 1.935
Y -5.011 -12.168 1.748
```


DFT (PBE) results for a geometry-optimized CaMgSbI2 structure.

Output
Its energy relative to the elements, uncorrected is -0.427 eV per atom. The value obtained for the density of states at the Fermi level is 5.14 states/eV per cell. The energy above the lowest structure with this stoichiometry comes out at 0.000 eV/atom.

```
5
Lattice="-1.744 -5.022 -1.877 1.062 -2.259 5.055 -5.305 1.222 1.660" Properties=species:S:1:pos:R:3 pbc="T T T"
I 0.531 -1.129 2.528
I -0.872 -2.511 -0.939
Sb -2.652 0.611 0.830
Ca -2.993 -3.029 2.419
Mg 0.000 0.000 0.000
```


DFT (PBE) results for a geometry-optimized CeNdTmHg structure.

Output
The value obtained for the density of states at the Fermi level is 8.94 states/eV per cell. The energy of formation from the pure elements comes out at 0.017 eV/atom.

```
4
Lattice="5.380 0.000 0.000 2.690 4.659 0.000 2.690 1.553 4.393" Properties=species:S:1:pos:R:3 pbc="T T T"
Tm 5.380 3.106 2.196
Nd 0.000 0.000 0.000
Hg 2.690 1.553 1.098
Ce 8.070 4.659 3.295
```


DFT (PBE) results for a geometry-optimized ZnSiP2 structure.

Output
Its energy relative to the elements, uncorrected is 0.034 eV per atom. The value obtained for the density of states at the Fermi level is 1.56 states/eV per cell. The energy above the lowest structure with this stoichiometry comes out at 0.345 eV/atom.

```
4
Lattice="-0.123 -3.318 0.993 1.471 -2.423 -1.995 5.638 -1.182 2.653" Properties=species:S:1:pos:R:3 pbc="T T T"
P 5.512 -1.213 2.577
P 3.619 -3.431 0.902
Si 5.240 -5.192 1.239
Zn 1.747 -1.731 0.413
```


DFT (PBE) results for a geometry-optimized CrBiAs2Se structure.

Output
Its energy relative to the elements, uncorrected is 1.153 eV per atom. The value obtained for the density of states at the Fermi level is 4.47 states/eV per cell. The energy above the lowest structure with this stoichiometry comes out at 0.897 eV/atom.

```
5
Lattice="-1.706 4.978 1.353 -2.312 0.536 -4.888 -4.679 -2.141 1.978" Properties=species:S:1:pos:R:3 pbc="T T T"
Cr -4.348 1.686 -0.778
As -1.156 0.268 -2.444
As -0.853 2.489 0.677
Bi 0.000 0.000 0.000
Se -2.339 -1.071 0.989
```


DFT (PBE) results for a geometry-optimized LiPd3Ru structure.

Output
The value obtained for the density of states at the Fermi level is 6.62 states/eV per cell. The energy of formation from the pure elements comes out at 0.594 eV/atom. The energy above the lowest structure with this stoichiometry comes out at 0.000 eV/atom.

```
5
Lattice="-3.410 -2.380 -0.705 1.407 -0.866 -3.881 2.045 -3.373 1.494" Properties=species:S:1:pos:R:3 pbc="T T T"
Ru 0.021 -3.310 -1.546
Pd 0.704 -0.433 -1.941
Pd 1.023 -1.687 0.747
Pd -1.705 -1.190 -0.353
Li 0.000 0.000 0.000
```


DFT (PBE) results for a geometry-optimized Tb7Sm2Cd2 structure.

Output
The value obtained for the density of states at the Fermi level is 14.46 states/eV per cell. The energy of formation from the pure elements comes out at 0.037 eV/atom.

```
11
Lattice="7.946 0.894 1.291 0.247 6.537 1.022 0.247 -1.339 6.480" Properties=species:S:1:pos:R:3 pbc="T T T"
Tb 1.529 0.218 3.739
Tb 6.911 2.669 7.276
Tb 6.911 5.876 5.054
Tb 1.529 3.424 1.517
Tb 0.000 0.000 0.000
Tb 4.034 4.013 5.792
Tb 4.406 2.080 3.001
Sm 4.220 0.522 6.146
Sm 4.220 5.571 2.647
Cd 7.025 2.827 4.080
Cd 1.415 3.266 4.713
```


DFT (PBE) results for a geometry-optimized KSb2N structure.

Output
Its energy relative to the elements, uncorrected is 0.394 eV per atom. The value obtained for the density of states at the Fermi level is 2.87 states/eV per cell.

```
8
Lattice="7.396 0.000 0.000 0.000 7.396 0.000 3.698 3.698 4.062" Properties=species:S:1:pos:R:3 pbc="T T T"
Sb 4.523 1.849 1.016
Sb 2.873 5.547 1.016
Sb 5.547 6.570 3.047
Sb 9.245 8.221 3.047
K 0.000 0.000 0.000
K 7.396 3.698 2.031
N 3.698 3.698 0.000
N 3.698 7.396 2.031
```


DFT (PBE) results for a geometry-optimized Te2IrCl structure.

Output
Its energy relative to the elements, uncorrected is 0.032 eV per atom. The value obtained for the density of states at the Fermi level is 1.82 states/eV per cell. The energy above the lowest structure with this stoichiometry comes out at 0.371 eV/atom.

```
4
Lattice="-2.026 -3.829 -5.535 0.986 -5.399 -4.392 -2.632 -4.317 1.008" Properties=species:S:1:pos:R:3 pbc="T T T"
Cl -1.670 -7.200 -5.485
Ir -0.802 -3.218 -2.303
Te -1.295 -8.869 -8.764
Te -2.783 -10.258 -6.752
```


DFT (PBE) results for a geometry-optimized Ca2LaPb structure.

Output
The value obtained for the density of states at the Fermi level is 3.25 states/eV per cell. The energy of formation from the pure elements comes out at -0.334 eV/atom.

```
4
Lattice="-4.648 1.389 1.337 -1.555 -4.763 -0.460 1.198 -0.881 5.077" Properties=species:S:1:pos:R:3 pbc="T T T"
Pb -0.179 -2.822 2.309
Ca 0.000 0.000 0.000
Ca -3.102 -1.687 0.439
La -1.725 0.254 3.207
```


DFT (PBE) results for a geometry-optimized Pr2Nd2CuRh4 structure.

Output
The value obtained for the density of states at the Fermi level is 5.07 states/eV per cell. The energy of formation from the pure elements comes out at -0.317 eV/atom.

```
9
Lattice="-4.240 -1.874 -4.473 -1.685 -1.330 6.074 0.744 6.376 0.542" Properties=species:S:1:pos:R:3 pbc="T T T"
Pr -3.198 -0.341 2.454
Pr -1.983 3.512 -0.311
Nd -0.654 3.505 4.596
Nd -0.287 1.541 2.021
Cu 0.000 0.000 0.000
Rh -1.057 0.664 4.642
Rh -2.744 2.836 2.746
Rh 0.115 4.382 1.974
Rh -2.438 0.336 -0.603
```


DFT (PBE) results for a geometry-optimized Li2AlHPb structure.

Output
The value obtained for the density of states at the Fermi level is 1.08 states/eV per cell. The total energy comes out at -3.0538 eV/atom.

```
5
Lattice="-3.540 -0.781 -2.126 -1.642 -1.832 3.407 -1.610 3.821 1.278" Properties=species:S:1:pos:R:3 pbc="T T T"
Pb -3.396 0.604 1.280
H 0.000 0.000 0.000
Al -0.805 1.911 0.639
Li -0.821 -0.916 1.704
Li -1.770 -0.390 -1.063
```


DFT (PBE) results for a geometry-optimized Ac2RuN structure.

Output
Its energy relative to the elements, uncorrected is 0.135 eV per atom. The value obtained for the density of states at the Fermi level is 3.10 states/eV per cell.

```
4
Lattice="-0.827 1.239 3.436 1.695 -1.493 2.987 6.388 5.642 1.544" Properties=species:S:1:pos:R:3 pbc="T T T"
Ru 0.000 0.000 0.000
Ac 4.461 3.833 1.733
Ac 2.794 1.555 6.235
N 3.628 2.694 3.984
```


DFT (PBE) results for a geometry-optimized CaCrIn structure.

Output
The value obtained for the density of states at the Fermi level is 2.61 states/eV per cell. The energy of formation from the pure elements comes out at 0.378 eV/atom.

```
3
Lattice="-0.337 -4.096 2.609 2.794 -3.829 -1.109 3.634 -1.303 2.966" Properties=species:S:1:pos:R:3 pbc="T T T"
Cr 4.567 -6.921 3.349
Ca 3.045 -4.614 2.233
In 0.000 0.000 0.000
```